Entry 1:
Be2HgP after structural relaxation, computed with PBE-GGA.

Cell lengths 3.5083, 3.5083, 6.4481 Å; angles 96.68, 96.68, 60.12 degrees
Fractional coordinates of all 4 atoms:
Be1 0.8990 0.8990 0.1215
Be2 0.6010 0.6010 0.3785
P1 0.2500 0.2500 0.2500
Hg1 0.7500 0.7500 0.7500

Values from the calculation:
Total magnetization: 0.000 μB per atom
Energy relative to the lowest polymorph listed for this composition: 0.000 eV/atom
Space group: C2/m, No. 12
Final energy: -3.169 eV per atom
Energy of formation from the pure elements: 0.1222 eV per atom

Entry 2:
NiHgSe3 after structural relaxation, computed with PBE-GGA.

Cell lengths 5.2337, 5.2337, 5.2337 Å; angles 90.00, 90.00, 90.00 degrees
Site moments in Bohr magnetons follow the coordinates.
Fractional coordinates of all 5 atoms:
Se1 0.0000 0.0000 0.5000  0.24
Se2 0.5000 0.0000 0.0000  0.29
Se3 0.0000 0.5000 0.0000  0.34
Ni1 0.5000 0.5000 0.5000  1.07
Hg1 0.0000 0.0000 0.0000  0.01

Values from the calculation:
Total magnetization: 0.475 μB per atom
Energy relative to the lowest polymorph listed for this composition: 0.860 eV/atom
ΔE_f (raw): 1.179 eV per atom
Space group: Pm-3m, No. 221
Final energy: -2.128 eV per atom

Entry 3:
Cs2FeBr7 after structural relaxation, computed with PBE-GGA.

Cell lengths 8.2542, 8.2542, 8.0248 Å; angles 59.05, 59.05, 90.00 degrees
Site moments in Bohr magnetons follow the coordinates.
Fractional coordinates of all 10 atoms:
Br1 0.2412 0.2412 0.5176  0.02
Br2 0.2950 0.7050 0.0000  0.02
Br3 0.7588 0.7588 0.4824  0.02
Br4 0.7050 0.7050 0.0000  0.02
Br5 0.0000 0.0000 0.0000  -0.11
Br6 0.7050 0.2950 0.0000  0.02
Br7 0.2950 0.2950 0.0000  0.02
Cs1 0.7500 0.2500 0.5000  0.00
Cs2 0.2500 0.7500 0.5000  0.00
Fe1 0.5000 0.5000 0.0000  2.84

Values from the calculation:
Total magnetization: 0.300 μB per atom
ΔE_f (raw): -0.888 eV per atom
Space group: I4/mmm, No. 139
Final energy: -3.076 eV per atom

Entry 4:
TaBe2Tc after structural relaxation, computed with PBE-GGA.

Cell lengths 3.3019, 3.1963, 4.7718 Å; angles 70.46, 90.00, 90.00 degrees
Fractional coordinates of all 4 atoms:
Be1 0.5000 0.0638 0.2477
Be2 0.0000 0.1932 0.9882
Ta1 0.0000 0.4668 0.4423
Tc1 0.5000 0.7762 0.8218

Values from the calculation:
Total magnetization: 0.000 μB per atom
Energy relative to the lowest polymorph listed for this composition: 0.000 eV/atom
Space group: Amm2, No. 38
Final energy: -7.802 eV per atom
Energy of formation from the pure elements: -0.3844 eV per atom

Entry 5:
WCl6 after structural relaxation, computed with PBE-GGA.

Cell lengths 6.6098, 11.3949, 12.4456 Å; angles 90.00, 90.00, 90.00 degrees
Fractional coordinates of all 28 atoms:
W1 0.4111 0.2500 0.1290
W2 0.9111 0.7500 0.3710
W3 0.0889 0.2500 0.6290
W4 0.5889 0.7500 0.8710
Cl1 0.6322 0.7500 0.2595
Cl2 0.2375 0.3933 0.5244
Cl3 0.9400 0.1069 0.7339
Cl4 0.2375 0.1067 0.5244
Cl5 0.5600 0.1069 0.2339
Cl6 0.4400 0.6069 0.7661
Cl7 0.7375 0.6067 0.9756
Cl8 0.7625 0.8933 0.4756
Cl9 0.3105 0.7500 0.9829
Cl10 0.3678 0.2500 0.7405
Cl11 0.0600 0.8931 0.2661
Cl12 0.1322 0.2500 0.2405
Cl13 0.1895 0.7500 0.4829
Cl14 0.2625 0.1067 0.0244
Cl15 0.4400 0.8931 0.7661
Cl16 0.7375 0.8933 0.9756
Cl17 0.0600 0.6069 0.2661
Cl18 0.9400 0.3931 0.7339
Cl19 0.8105 0.2500 0.5171
Cl20 0.2625 0.3933 0.0244
Cl21 0.7625 0.6067 0.4756
Cl22 0.5600 0.3931 0.2339
Cl23 0.8678 0.7500 0.7595
Cl24 0.6895 0.2500 0.0171

Values from the calculation:
Total magnetization: 0.000 μB per atom
ΔE_f (raw): -0.852 eV per atom
Space group: Pnma, No. 62
Final energy: -4.286 eV per atom

Entry 6:
Y2InGaO6 after structural relaxation, computed with PBE-GGA.

Cell lengths 5.0918, 5.2802, 5.2802 Å; angles 90.00, 90.00, 90.00 degrees
Fractional coordinates of all 10 atoms:
Y1 0.9888 0.0000 0.5000
Y2 0.9888 0.5000 0.0000
O1 0.7368 0.7586 0.2414
O2 0.7368 0.2414 0.7586
O3 0.1586 0.5000 0.5000
O4 0.7368 0.7586 0.7586
O5 0.7368 0.2414 0.2414
O6 0.2181 0.0000 0.0000
In1 0.5612 0.5000 0.5000
Ga1 0.5839 0.0000 0.0000

Values from the calculation:
Total magnetization: 0.000 μB per atom
ΔE_f (raw): -2.420 eV per atom
Space group: P4mm, No. 99
Final energy: -7.264 eV per atom

Entry 7:
CaPd2PtSe after structural relaxation, computed with PBE-GGA.

Cell lengths 4.7491, 4.7968, 4.7491 Å; angles 90.00, 90.00, 90.00 degrees
Fractional coordinates of all 5 atoms:
Se1 0.0000 0.0000 0.0000
Ca1 0.5000 0.5000 0.5000
Pd1 0.5000 0.0000 0.0000
Pd2 0.0000 0.0000 0.5000
Pt1 0.0000 0.5000 0.0000

Values from the calculation:
Total magnetization: 0.000 μB per atom
ΔE_f (raw): -0.389 eV per atom
Space group: P4/mmm, No. 123
Final energy: -4.772 eV per atom

Entry 8:
MoRhS2 after structural relaxation, computed with PBE-GGA.

Cell lengths 5.3379, 5.3379, 6.4678 Å; angles 65.63, 65.63, 90.00 degrees
Fractional coordinates of all 8 atoms:
Mo1 0.2500 0.7500 0.5000
Mo2 0.5000 0.5000 0.0000
S1 0.1265 0.6250 0.2500
S2 0.3750 0.3765 0.7500
S3 0.8750 0.8735 0.7500
S4 0.6235 0.1250 0.2500
Rh1 0.7500 0.2500 0.5000
Rh2 0.0000 0.0000 0.0000

Values from the calculation:
Total magnetization: 0.000 μB per atom
Energy relative to the lowest polymorph listed for this composition: 0.137 eV/atom
ΔE_f (raw): -0.225 eV per atom
Space group: I-42d, No. 122
Final energy: -6.835 eV per atom